Here is crystalline PmGdScZn at its relaxed geometry from Alexandria. Energies are from PBE-GGA.

The structure in POSCAR format:
```
PmGdScZn
1.0
5.281 0.000 0.000
2.640 4.573 0.000
2.640 1.524 4.312
Sc Pm Zn Gd
1 1 1 1
Cartesian
7.921 4.573 3.234
0.000 0.000 0.000
2.640 1.524 1.078
5.281 3.049 2.156
```

Results
* space-group type: F-43m, No. 216
* energy of formation: -0.06 eV per formula unit
* crystal system: cubic